# 1
Below is a relaxed structure of Be3SnGe, with properties calculated at the PBE-GGA level.

Summary:
The value obtained for the offset from the most stable computed form is 0.0 meV/atom. Its formation energy is 0.83 eV per atom. For the uncorrected energy, the calculation gives -15.67 eV/cell. The value obtained for the density of states at the Fermi level is 2.33 states/eV/cell. The volume comes out at 83.31 Å³ per cell.

The structure in CIF format:
```
data_Be3SnGe
_cell_length_a 4.368
_cell_length_b 4.368
_cell_length_c 4.368
_cell_angle_alpha 90.00
_cell_angle_beta 90.00
_cell_angle_gamma 90.00
_symmetry_space_group_name_H-M 'P m -3 m'
_symmetry_Int_Tables_number 221
_symmetry_space_group_name_Hall '-P 4 2 3'
loop_
_atom_site_label
_atom_site_type_symbol
_atom_site_fract_x
_atom_site_fract_y
_atom_site_fract_z
Be1 Be 0.000 0.000 0.500
Sn1 Sn 0.500 0.500 0.500
Ge1 Ge 0.000 0.000 0.000
```



# 2
Below is a relaxed structure of HoPu4Ir4, with properties calculated at the PBE-GGA level.

Summary:
Its formation energy is -0.38 eV per atom. For the uncorrected energy, the calculation gives -201.60 eV/cell. The value obtained for the density of states at the Fermi level is 48.42 states/eV/cell. The volume comes out at 441.02 Å³ per cell.

The structure in CIF format:
```
data_HoPu4Ir4
_cell_length_a 8.913
_cell_length_b 8.913
_cell_length_c 5.552
_cell_angle_alpha 90.00
_cell_angle_beta 90.00
_cell_angle_gamma 90.00
_symmetry_space_group_name_H-M 'I 4/m'
_symmetry_Int_Tables_number 87
_symmetry_space_group_name_Hall '-I 4'
loop_
_atom_site_label
_atom_site_type_symbol
_atom_site_fract_x
_atom_site_fract_y
_atom_site_fract_z
Ho1 Ho 0.000 0.000 0.000
Pu1 Pu 0.102 0.692 0.500
Ir1 Ir 0.111 0.699 0.000
```



# 3
Below is a relaxed structure of Ac2Tl2Cd, with properties calculated at the PBE-GGA level.

Summary:
Its formation energy is -0.35 eV per atom. For the uncorrected energy, the calculation gives -62.38 eV/cell. The value obtained for the density of states at the Fermi level is 13.64 states/eV/cell. The volume comes out at 665.48 Å³ per cell.

The structure in CIF format:
```
data_Ac2Tl2Cd
_cell_length_a 12.194
_cell_length_b 5.101
_cell_length_c 12.084
_cell_angle_alpha 90.00
_cell_angle_beta 117.69
_cell_angle_gamma 90.00
_symmetry_space_group_name_H-M 'C 1 2/m 1'
_symmetry_Int_Tables_number 12
_symmetry_space_group_name_Hall '-C 2y'
loop_
_atom_site_label
_atom_site_type_symbol
_atom_site_fract_x
_atom_site_fract_y
_atom_site_fract_z
Ac1 Ac 0.015 0.000 0.334
Ac2 Ac 0.180 0.000 0.100
Tl1 Tl 0.030 0.500 0.884
Tl2 Tl 0.145 0.500 0.561
Cd1 Cd 0.221 0.500 0.339
```